Below is a relaxed structure of K2UBeO6, with properties calculated at the PBE level.

The structure in POSCAR format:
```
K2UBeO6
1.0
-3.537 -4.229 -1.187
2.494 -0.679 -5.012
2.035 -5.048 -1.476
K U Be O
2 1 1 6
direct
0.250 0.750 0.500
0.750 0.250 0.500
0.500 0.500 0.000
0.000 0.000 0.000
0.240 0.760 0.000
0.760 0.760 0.000
0.240 0.240 0.520
0.760 0.240 0.000
0.240 0.240 0.000
0.760 0.760 0.480
```

Results
Uncorrected energy (eV/atom): -6.736
Formation energy (no corrections) (meV per atom): -2040
DOS(E_F) (states/eV per atom): 0.1924
Calculated volume (A^3/atom): 12.68
Magnetization (Bohr magnetons per cell): 2.07


Below is a relaxed structure of AsBrCl, with properties calculated at the PBE level.

The structure in POSCAR format:
```
AsBrCl
1.0
-2.935 -1.671 0.388
2.080 -3.849 -0.970
1.731 1.634 6.908
As Br Cl
1 1 1
direct
0.822 0.239 0.182
0.941 0.042 0.453
0.711 0.806 0.935
```

Results
Uncorrected energy (eV/atom): -3.077
Formation energy (no corrections) (meV per atom): -354
DOS(E_F) (states/eV per atom): 0.1281
Calculated volume (A^3/atom): 34.70
Magnetization (Bohr magnetons per cell): 0.00


What is the formation energy (no corrections) in the second record?
-354 meV per atom